(1)
Entry from the Alexandria database: a relaxed structure of Mg2CoBr (PBE).

```
Mg2CoBr
1.0
-1.933 1.933 5.397
1.933 -1.933 5.397
1.933 1.933 -5.397
Mg Co Br
2 1 1
Cartesian
0.000 0.000 0.000
0.000 1.933 2.698
0.000 0.000 5.397
1.933 0.000 2.698
```

Values from the calculation:
- SG = I-4m2, No. 119



(2)
Entry from the Alexandria database: a relaxed structure of Mg2CoBr (PBE).

```
Mg2CoBr
1.0
3.200 0.000 0.000
0.000 3.200 0.000
0.000 0.000 7.812
Mg Co Br
2 1 1
Cartesian
0.000 0.000 0.000
1.600 1.600 2.294
1.600 1.600 6.226
0.000 0.000 4.752
```

Values from the calculation:
- SG = P4mm, No. 99



(3)
Entry from the Alexandria database: a relaxed structure of Mg2CoBr (PBE).

```
Mg2CoBr
1.0
4.822 0.000 0.000
0.000 4.822 0.000
0.000 0.000 3.192
Mg Co Br
2 1 1
Cartesian
0.000 2.411 0.000
2.411 0.000 0.000
0.000 0.000 1.596
2.411 2.411 1.596
```

Values from the calculation:
- SG = P4/mmm, No. 123



(4)
Entry from the Alexandria database: a relaxed structure of MgCo2Br (PBE).

```
MgCo2Br
1.0
-1.822 1.822 4.958
1.822 -1.822 4.958
1.822 1.822 -4.958
Mg Co Br
1 2 1
Cartesian
0.000 0.000 0.000
1.822 0.000 2.479
0.000 1.822 2.479
0.000 0.000 4.958
```

Values from the calculation:
- SG = I4/mmm, No. 139



(5)
Entry from the Alexandria database: a relaxed structure of MgCo2Br (PBE).

```
MgCo2Br
1.0
3.229 0.000 0.000
0.000 3.721 0.000
0.000 0.000 6.247
Mg Co Br
1 2 1
Cartesian
0.000 0.000 0.000
1.615 1.860 1.110
1.615 1.860 5.137
0.000 1.860 3.123
```

Values from the calculation:
- SG = Pmmm, No. 47



(6)
Entry from the Alexandria database: a relaxed structure of Mg2CoBr (PBE).

```
Mg2CoBr
1.0
-3.651 3.651 3.282
3.651 -3.651 3.282
3.651 3.651 -3.282
Mg Co Br
4 2 2
Cartesian
5.476 1.712 -0.820
1.712 1.825 0.820
-1.825 1.938 2.461
1.938 1.825 4.102
0.000 0.000 0.000
0.000 3.651 1.641
3.651 0.000 1.641
0.000 0.000 3.282
```

Values from the calculation:
- SG = I-42d, No. 122



(7)
Entry from the Alexandria database: a relaxed structure of Mg2CoBr (PBE).

```
Mg2CoBr
1.0
0.000 3.336 3.336
3.336 0.000 3.336
3.336 3.336 0.000
Mg Co Br
2 1 1
Cartesian
0.000 0.000 0.000
1.668 1.668 1.668
3.336 3.336 3.336
5.004 5.004 5.004
```

Values from the calculation:
- SG = F-43m, No. 216



(8)
Entry from the Alexandria database: a relaxed structure of MgCo2Br2 (PBE).

```
MgCo2Br2
1.0
-1.658 1.658 11.437
1.658 -1.658 11.437
1.658 1.658 -11.437
Mg Co Br
1 2 2
Cartesian
0.000 0.000 0.000
1.658 0.000 5.719
0.000 1.658 5.719
0.000 0.000 9.793
0.000 0.000 13.081
```

Values from the calculation:
- SG = I4/mmm, No. 139



| no. | formation energy (no corrections) (eV/atom) | calculated total energy (eV/atom) |
| --- | --- | --- |
| 1 | 0.2378 | -2.75 |
| 2 | 0.1908 | -2.80 |
| 3 | 0.1007 | -2.89 |
| 4 | 0.5302 | -3.84 |
| 5 | 0.3017 | -4.07 |
| 6 | 0.2266 | -2.77 |
| 7 | 0.4656 | -2.53 |
| 8 | 0.0787 | -3.75 |